Record 1
The following is a PBE calculation of a relaxed Ba2BePt2 crystal, from Alexandria via LeMat-Bulk.

Properties
The value obtained for the total DFT energy (no corrections) is -41.3 eV for the cell shown.

Cell lengths 7.323, 7.323, 4.794 Å; angles 90.00, 90.00, 90.00 degrees
Fractional positions:
Ba  0.169  0.331  0.000
Ba  0.331  0.831  0.000
Ba  0.669  0.169  0.000
Ba  0.831  0.669  0.000
Be  0.000  0.000  0.500
Be  0.500  0.500  0.500
Pt  0.146  0.646  0.500
Pt  0.354  0.146  0.500
Pt  0.646  0.854  0.500
Pt  0.854  0.354  0.500

Record 2
The following is a PBE calculation of a relaxed BaBePt2 crystal, from Alexandria via LeMat-Bulk.

Properties
The value obtained for the total DFT energy (no corrections) is -16.6 eV for the cell shown.

Cell lengths 4.876, 4.876, 4.876 Å; angles 60.00, 60.00, 60.00 degrees
Fractional positions:
Ba  0.000  0.000  0.000
Be  0.750  0.750  0.750
Pt  0.250  0.250  0.250
Pt  0.500  0.500  0.500

Record 3
The following is a PBE calculation of a relaxed Ba4BePt crystal, from Alexandria via LeMat-Bulk.

Properties
The value obtained for the total DFT energy (no corrections) is -12.0 eV for the cell shown.

Cell lengths 6.901, 6.901, 6.901 Å; angles 60.00, 60.00, 60.00 degrees
Fractional positions:
Ba  0.376  0.376  0.376
Ba  0.376  0.376  0.872
Ba  0.376  0.872  0.376
Ba  0.872  0.376  0.376
Be  0.000  0.000  0.000
Pt  0.750  0.750  0.750

Record 4
The following is a PBE calculation of a relaxed BaBe2Pt crystal, from Alexandria via LeMat-Bulk.

Properties
The value obtained for the total DFT energy (no corrections) is -15.1 eV for the cell shown. The calculation puts the relative energy among the computed polymorphs at 0.5032 eV per atom.

Cell lengths 3.235, 3.235, 7.173 Å; angles 90.00, 90.00, 90.00 degrees
Fractional positions:
Ba  0.000  0.000  0.000
Be  0.000  0.000  0.526
Be  0.500  0.500  0.343
Pt  0.500  0.500  0.644

Record 5
The following is a PBE calculation of a relaxed BaBe2Pt crystal, from Alexandria via LeMat-Bulk.

Properties
The value obtained for the total DFT energy (no corrections) is -13.5 eV for the cell shown. The calculation puts the relative energy among the computed polymorphs at 0.9013 eV per atom.

Cell lengths 4.728, 4.728, 4.728 Å; angles 60.00, 60.00, 60.00 degrees
Fractional positions:
Ba  0.000  0.000  0.000
Be  0.250  0.250  0.250
Be  0.750  0.750  0.750
Pt  0.500  0.500  0.500

Record 6
The following is a PBE calculation of a relaxed BaBePt2 crystal, from Alexandria via LeMat-Bulk.

Properties
The value obtained for the total DFT energy (no corrections) is -19.0 eV for the cell shown.

Cell lengths 3.169, 3.476, 7.302 Å; angles 90.00, 100.85, 90.00 degrees
Fractional positions:
Ba  0.000  0.000  0.000
Be  0.000  0.000  0.500
Pt  0.362  0.500  0.665
Pt  0.638  0.500  0.335

Repeat the fifth record exactly.
The following is a PBE calculation of a relaxed BaBe2Pt crystal, from Alexandria via LeMat-Bulk.

Properties
The value obtained for the total DFT energy (no corrections) is -13.5 eV for the cell shown. The calculation puts the relative energy among the computed polymorphs at 0.9013 eV per atom.

Cell lengths 4.728, 4.728, 4.728 Å; angles 60.00, 60.00, 60.00 degrees
Fractional positions:
Ba  0.000  0.000  0.000
Be  0.250  0.250  0.250
Be  0.750  0.750  0.750
Pt  0.500  0.500  0.500

Repeat the fourth record exactly.
The following is a PBE calculation of a relaxed BaBe2Pt crystal, from Alexandria via LeMat-Bulk.

Properties
The value obtained for the total DFT energy (no corrections) is -15.1 eV for the cell shown. The calculation puts the relative energy among the computed polymorphs at 0.5032 eV per atom.

Cell lengths 3.235, 3.235, 7.173 Å; angles 90.00, 90.00, 90.00 degrees
Fractional positions:
Ba  0.000  0.000  0.000
Be  0.000  0.000  0.526
Be  0.500  0.500  0.343
Pt  0.500  0.500  0.644